Pr4MgIr | Alexandria via LeMat-Bulk | PBE-GGA | optimized geometry; ΔE to the lowest computed polymorph = 0.000 eV/f.u.; theoretical density = 7.10 Mg/m³; formation enthalpy at 0 K = -344 meV per atom; total moment = 0.00 μB per formula unit; E = -5.273 eV/atom
1.0
0.0000 7.1449 7.1449
7.1449 0.0000 7.1449
7.1449 7.1449 0.0000
Pr Mg Ir
16 4 4
Direct
0.1885 0.1885 0.8115 Pr
0.1885 0.8115 0.1885 Pr
0.1885 0.8115 0.8115 Pr
0.3467 0.3467 0.3467 Pr
0.3467 0.3467 0.9598 Pr
0.3467 0.9598 0.3467 Pr
0.5613 0.5613 0.9387 Pr
0.5613 0.9387 0.5613 Pr
0.5613 0.9387 0.9387 Pr
0.8115 0.1885 0.1885 Pr
0.8115 0.1885 0.8115 Pr
0.8115 0.8115 0.1885 Pr
0.9387 0.5613 0.5613 Pr
0.9387 0.5613 0.9387 Pr
0.9387 0.9387 0.5613 Pr
0.9598 0.3467 0.3467 Pr
0.2635 0.5788 0.5788 Mg
0.5788 0.2635 0.5788 Mg
0.5788 0.5788 0.2635 Mg
0.5788 0.5788 0.5788 Mg
0.1417 0.1417 0.1417 Ir
0.1417 0.1417 0.5749 Ir
0.1417 0.5749 0.1417 Ir
0.5749 0.1417 0.1417 Ir